This record from Alexandria describes a relaxed structure of Ac2TbMo3O12. The functional is PBE with a Hubbard U.

Lattice parameters (Å, degrees): 6.821 6.821 6.821 65.44 65.44 65.44
Element x y z (fractional)
Ac (0.116, 0.116, 0.116)
Ac (0.884, 0.884, 0.884)
Tb (0.500, 0.500, 0.500)
Mo (0.000, 0.500, 0.500)
Mo (0.500, 0.000, 0.500)
Mo (0.500, 0.500, 0.000)
O (0.064, 0.646, 0.646)
O (0.229, 0.229, 0.633)
O (0.229, 0.633, 0.229)
O (0.354, 0.354, 0.936)
O (0.354, 0.936, 0.354)
O (0.367, 0.771, 0.771)
O (0.633, 0.229, 0.229)
O (0.646, 0.064, 0.646)
O (0.646, 0.646, 0.064)
O (0.771, 0.367, 0.771)
O (0.771, 0.771, 0.367)
O (0.936, 0.354, 0.354)

Properties
Raw total energy ... -0.2778 hartree per atom